! CaGaSn2Pd4 (PBE-GGA, optimized geometry); values from VASP
! Calculated formation energy   -59 kJ/mol of atoms
! Space-group type   R-3m, No. 166
! Raw total energy   -4.84 eV/atom
&SYSTEM
  ibrav = 0, nat = 8, ntyp = 4
/
ATOMIC_SPECIES
Ca 40.08 Ca.upf
Ga 69.72 Ga.upf
Sn 118.71 Sn.upf
Pd 106.42 Pd.upf
CELL_PARAMETERS angstrom
4.5917 0.0000 0.0000
2.2959 3.9766 0.0000
2.2959 1.3255 8.3163
ATOMIC_POSITIONS angstrom
Ca 0.0000 0.0000 0.0000
Ga 4.5917 2.6510 4.1582
Sn 6.8876 3.9766 6.2437
Sn 2.2959 1.3255 2.0726
Pd 4.5917 2.6510 6.6494
Pd 6.8876 3.9766 3.3853
Pd 2.2959 1.3255 4.9310
Pd 4.5917 2.6510 1.6669

---

! K3BeTc (PBE-GGA, optimized geometry); values from VASP
! ΔE to the lowest computed polymorph   0 meV per atom
! Calculated formation energy   152 kJ/mol of atoms
! Space-group type   Pm-3m, No. 221
! Raw total energy   -1.90 eV/atom
&SYSTEM
  ibrav = 0, nat = 5, ntyp = 3
/
ATOMIC_SPECIES
Be 9.01 Be.upf
K 39.10 K.upf
Tc 98.00 Tc.upf
CELL_PARAMETERS angstrom
-3.9206 -4.2642 2.2917
-1.6926 -1.5554 -5.7899
4.5354 -4.2666 -0.1797
ATOMIC_POSITIONS angstrom
Be 0.0000 0.0000 0.0000
K -0.8463 -0.7777 -2.8949
K 2.2677 -2.1333 -0.0898
K -1.9603 -2.1321 1.1458
Tc -0.5389 -5.0431 -1.8389